DFT (PBE) results for a geometry-optimized Ba2LiInNi structure.

Space-group type ... P4/mmm
E above lowest polymorph ... 0.085 eV per atom
Size of the total moment ... 0.000 μB/cell
Total DFT energy (no corrections) ... -2.857 eV/atom
Energy of formation ... -0.01 eV per formula unit

Geometry as CIF:
```
data_Ba2LiInNi
_space_group_name_H-M_alt 'P 1'
_space_group_IT_number 1
_space_group_name_Hall 'P 1'
_cell_length_a 6.035
_cell_length_b 6.035
_cell_length_c 4.765
_cell_angle_alpha 90.00
_cell_angle_beta 90.00
_cell_angle_gamma 90.00
loop_
_atom_site_label
_atom_site_type_symbol
_atom_site_fract_x
_atom_site_fract_y
_atom_site_fract_z
_atom_site_occupancy
Ba1 Ba 0.000 0.500 0.000 1
Ba2 Ba 0.500 0.000 0.000 1
Li1 Li 0.000 0.000 0.500 1
In1 In 0.500 0.500 0.500 1
Ni1 Ni 0.000 0.000 0.000 1
```